Here is a relaxed structure of Dy5TlNi2 from Alexandria. Energies are from PBE-GGA.

Its volume is 24.76 A^3/atom. The calculation puts the energy relative to the elements at -0.330 eV per atom.

The structure belongs to space group I4/mcm (No. 140); the cell edges are 7.696, 7.696 and 13.377 Å and the angles 90.00°, 90.00° and 90.00°. The asymmetric unit holds Dy at (0.000, 0.000, 0.000), Dy at (0.160, 0.340, 0.134), Tl at (0.000, 0.000, 0.250) and Ni at (0.127, 0.373, 0.500).

Here is a relaxed structure of Dy6TlNi from Alexandria. Energies are from PBE-GGA.

Its volume is 31.51 A^3/atom. The calculation puts the energy relative to the elements at 0.036 eV per atom.

The structure belongs to space group R-3 (No. 148, hexagonal axes); the cell edges are 6.9677, 6.9677 and 17.9810 Å and the angles 90.00°, 90.00° and 120.00°. The asymmetric unit holds Dy at (0.0068, 0.3837, 0.4131), Tl at (0.0000, 0.0000, 0.5000) and Ni at (0.0000, 0.0000, 0.0000).

Here is a relaxed structure of Dy6Tl2Ni from Alexandria. Energies are from PBE-GGA.

Its volume is 28.73 A^3/atom. The calculation puts the energy relative to the elements at -0.201 eV per atom.

The structure belongs to space group P2_1/c (No. 14); the cell edges are 7.185, 7.092 and 12.398 Å and the angles 90.00°, 125.06° and 90.00°. The asymmetric unit holds Dy at (0.183, 0.225, 0.468), Dy at (0.246, 0.720, 0.467), Dy at (0.315, 0.002, 0.247), Tl at (0.241, 0.028, 0.748) and Ni at (0.500, 0.000, 0.500).

Here is a relaxed structure of Dy8Tl2Ni from Alexandria. Energies are from PBE-GGA.

Its volume is 28.14 A^3/atom. The calculation puts the energy relative to the elements at -0.172 eV per atom.

The structure belongs to space group C2/m (No. 12); the cell edges are 18.448, 5.036 and 6.762 Å and the angles 90.00°, 99.77° and 90.00°. The asymmetric unit holds Dy at (0.014, 0.000, 0.274), Dy at (0.090, 0.500, 0.967), Dy at (0.142, 0.500, 0.489), Dy at (0.208, 0.000, 0.813), Tl at (0.188, 0.000, 0.261) and Ni at (0.000, 0.500, 0.500).

Here is a relaxed structure of Dy2TlNi2 from Alexandria. Energies are from PBE-GGA.

Its volume is 20.20 A^3/atom. The calculation puts the energy relative to the elements at -0.283 eV per atom.

The structure belongs to space group R-3m (No. 166, hexagonal axes); the cell edges are 4.8053, 4.8053 and 15.1525 Å and the angles 90.00°, 90.00° and 120.00°. The asymmetric unit holds Dy at (0.0000, 0.0000, 0.2315), Tl at (0.0000, 0.0000, 0.0000) and Ni at (0.0000, 0.0000, 0.4216).

Here is a relaxed structure of DyTmTlNi from Alexandria. Energies are from PBE-GGA.

Its volume is 23.16 A^3/atom. The calculation puts the energy relative to the elements at -0.258 eV per atom.

The structure belongs to space group F-43m (No. 216); the cell edges are 7.182, 7.182 and 7.182 Å and the angles 90.00°, 90.00° and 90.00°. The asymmetric unit holds Dy at (0.000, 0.000, 0.000), Tm at (0.000, 0.000, 0.500), Tl at (0.250, 0.250, 0.250) and Ni at (0.250, 0.250, 0.750).